! V2AsO8 PBE with a Hubbard U optimized geometry; values from VASP
&SYSTEM
  ibrav = 0, nat = 11, ntyp = 3
/
ATOMIC_SPECIES
V 50.94 V.upf
As 74.92 As.upf
O 16.00 O.upf
CELL_PARAMETERS angstrom
4.985 0.114 0.396
0.495 6.434 -0.250
0.127 -0.675 6.421
ATOMIC_POSITIONS crystal
V 0.339 0.219 0.219
V 0.661 0.781 0.781
As 0.000 0.000 0.000
O 0.843 0.749 0.008
O 0.843 0.008 0.749
O 0.157 0.251 0.992
O 0.728 0.587 0.587
O 0.157 0.992 0.251
O 0.698 0.154 0.154
O 0.302 0.846 0.846
O 0.272 0.413 0.413
! - E: -6.575 eV per atom
! - Size of the total moment: 0.095 μB/atom
! - ρ: 2.48 g/cm3